Entry 1:
! PBE La2ZrTl, relaxed; values from VASP
&SYSTEM
  ibrav = 0, nat = 4, ntyp = 3
/
ATOMIC_SPECIES
La 138.91 La.upf
Tl 204.38 Tl.upf
Zr 91.22 Zr.upf
ATOMIC_POSITIONS crystal
La 0.750 0.750 0.750
Tl 0.500 0.500 0.500
La 0.250 0.250 0.250
Zr 0.000 0.000 0.000
CELL_PARAMETERS angstrom
-3.421 -1.741 4.054
-5.329 -1.190 -1.164
-1.759 -5.298 0.084
! - ΔE to the lowest computed polymorph (meV/atom) = 98
! - energy of formation (kJ per mole of atoms) = 2
! - space-group type = Fm-3m, No. 225
! - calculated volume (Å³ per atom) = 30.758

=====

Entry 2:
! PBE LaZrTl, relaxed; values from VASP
&SYSTEM
  ibrav = 0, nat = 3, ntyp = 3
/
ATOMIC_SPECIES
Tl 204.38 Tl.upf
Zr 91.22 Zr.upf
La 138.91 La.upf
ATOMIC_POSITIONS crystal
Tl 0.322 0.322 0.678
Zr 0.679 0.679 0.321
La 0.998 0.998 0.002
CELL_PARAMETERS angstrom
7.505 -0.031 0.033
6.734 3.313 0.053
0.771 0.158 3.340
! - ΔE to the lowest computed polymorph (meV/atom) = 103
! - energy of formation (kJ per mole of atoms) = -2
! - space-group type = I4mm, No. 107
! - calculated volume (Å³ per atom) = 27.876

=====

Entry 3:
! PBE LaZrTl, relaxed; values from VASP
&SYSTEM
  ibrav = 0, nat = 3, ntyp = 3
/
ATOMIC_SPECIES
Tl 204.38 Tl.upf
Zr 91.22 Zr.upf
La 138.91 La.upf
ATOMIC_POSITIONS crystal
Tl 0.000 0.000 0.000
Zr 0.500 0.500 0.500
La 0.750 0.750 0.750
CELL_PARAMETERS angstrom
-1.793 -4.419 -2.126
2.853 -2.526 -3.569
2.232 -4.566 1.196
! - ΔE to the lowest computed polymorph (meV/atom) = 885
! - energy of formation (kJ per mole of atoms) = 74
! - space-group type = F-43m, No. 216
! - calculated volume (Å³ per atom) = 33.547

=====

Entry 4:
! PBE La2ZrTl, relaxed; values from VASP
&SYSTEM
  ibrav = 0, nat = 4, ntyp = 3
/
ATOMIC_SPECIES
La 138.91 La.upf
Tl 204.38 Tl.upf
Zr 91.22 Zr.upf
ATOMIC_POSITIONS crystal
La 0.000 0.500 0.500
La 0.000 0.000 0.000
Tl 0.500 0.500 0.000
Zr 0.500 0.000 0.500
CELL_PARAMETERS angstrom
4.991 0.000 0.000
0.000 4.796 0.000
0.000 0.000 4.796
! - ΔE to the lowest computed polymorph (meV/atom) = 0
! - energy of formation (kJ per mole of atoms) = -7
! - space-group type = P4/mmm, No. 123
! - calculated volume (Å³ per atom) = 28.695

=====

Entry 5:
! PBE LaZrTl, relaxed; values from VASP
&SYSTEM
  ibrav = 0, nat = 6, ntyp = 3
/
ATOMIC_SPECIES
La 138.91 La.upf
Tl 204.38 Tl.upf
Zr 91.22 Zr.upf
ATOMIC_POSITIONS crystal
La 0.689 0.457 0.597
Tl 0.690 0.873 0.013
La 0.691 0.194 0.836
Zr 0.690 0.146 0.288
Zr 0.689 0.504 0.145
Tl 0.689 0.778 0.420
CELL_PARAMETERS angstrom
3.914 1.009 -0.630
2.988 4.322 -1.071
-1.595 -2.378 12.800
! - ΔE to the lowest computed polymorph (meV/atom) = 0
! - energy of formation (kJ per mole of atoms) = -12
! - space-group type = Pmmn, No. 59
! - calculated volume (Å³ per atom) = 28.311

=====

Entry 6:
! PBE La2ZrTl, relaxed; values from VASP
&SYSTEM
  ibrav = 0, nat = 4, ntyp = 3
/
ATOMIC_SPECIES
Tl 204.38 Tl.upf
La 138.91 La.upf
Zr 91.22 Zr.upf
ATOMIC_POSITIONS crystal
Tl 0.000 0.000 0.521
La 0.000 0.000 0.991
Zr 0.500 0.500 0.725
La 0.500 0.500 0.263
CELL_PARAMETERS angstrom
3.529 0.000 0.000
0.000 4.414 0.000
0.000 0.000 7.278
! - ΔE to the lowest computed polymorph (meV/atom) = 33
! - energy of formation (kJ per mole of atoms) = -4
! - space-group type = Pmm2, No. 25
! - calculated volume (Å³ per atom) = 28.344

=====

Entry 7:
! PBE LaZrTl4, relaxed; values from VASP
&SYSTEM
  ibrav = 0, nat = 6, ntyp = 3
/
ATOMIC_SPECIES
La 138.91 La.upf
Zr 91.22 Zr.upf
Tl 204.38 Tl.upf
ATOMIC_POSITIONS crystal
La 0.000 0.000 0.000
Zr 0.750 0.750 0.750
Tl 0.375 0.874 0.375
Tl 0.375 0.375 0.375
Tl 0.874 0.375 0.375
Tl 0.375 0.375 0.874
CELL_PARAMETERS angstrom
0.000 4.357 4.357
4.357 0.000 4.357
4.357 4.357 0.000
! - energy of formation (kJ per mole of atoms) = 10
! - space-group type = F-43m, No. 216
! - calculated volume (Å³ per atom) = 27.576

=====

Entry 8:
! PBE LaZr3Tl, relaxed; values from VASP
&SYSTEM
  ibrav = 0, nat = 5, ntyp = 3
/
ATOMIC_SPECIES
Tl 204.38 Tl.upf
Zr 91.22 Zr.upf
La 138.91 La.upf
ATOMIC_POSITIONS crystal
Tl 0.000 0.000 0.000
Zr 0.000 0.000 0.500
Zr 0.500 0.000 0.000
La 0.500 0.500 0.500
Zr 0.000 0.500 0.000
CELL_PARAMETERS angstrom
-1.186 -5.293 0.527
5.028 -1.292 -1.658
1.735 0.126 5.165
! - ΔE to the lowest computed polymorph (meV/atom) = 0
! - energy of formation (kJ per mole of atoms) = 85
! - space-group type = Pm-3m, No. 221
! - calculated volume (Å³ per atom) = 32.376

=====

What did the third record say?
! PBE LaZrTl, relaxed; values from VASP
&SYSTEM
  ibrav = 0, nat = 3, ntyp = 3
/
ATOMIC_SPECIES
Tl 204.38 Tl.upf
Zr 91.22 Zr.upf
La 138.91 La.upf
ATOMIC_POSITIONS crystal
Tl 0.000 0.000 0.000
Zr 0.500 0.500 0.500
La 0.750 0.750 0.750
CELL_PARAMETERS angstrom
-1.793 -4.419 -2.126
2.853 -2.526 -3.569
2.232 -4.566 1.196
! - ΔE to the lowest computed polymorph (meV/atom) = 885
! - energy of formation (kJ per mole of atoms) = 74
! - space-group type = F-43m, No. 216
! - calculated volume (Å³ per atom) = 33.547

=====

> Which value of energy of formation does entry 5 give?

-12 kJ per mole of atoms

=====

> Which value of energy of formation does entry 4 give?

-7 kJ per mole of atoms